VASP calculation (PBEsol) on crystalline MgBrO3 at its relaxed geometry.

Summary:
Energy, eV per atom: -3.916
Space-group type: No. 221
ΔE_f (raw), eV per atom: -0.049

Lattice parameters (Å, degrees): 3.8943 3.8943 3.8943 90.00 90.00 90.00
Each line ends with the local moment (μB).
Fractional coordinates of all 5 atoms:
Br  0.0000  0.0000  0.0000  0.00
Mg  0.5000  0.5000  0.5000  -0.01
O  0.0000  0.5000  0.5000  0.32
O  0.5000  0.0000  0.5000  0.32
O  0.5000  0.5000  0.0000  0.32